(1)
# MnSiS2, relaxed, DFT GGA-PBE
# SG = I-42d
# Energy relative to the elements, uncorrected = 0.00 eV per atom
# Density of states at the Fermi level = 5.582 states/eV per cell
# Calculated volume = 133.5 Å³ per cell
data_MnSiS2
_cell_length_a 6.2781
_cell_length_b 6.2781
_cell_length_c 6.2781
_cell_angle_alpha 132.11
_cell_angle_beta 132.11
_cell_angle_gamma 70.05
_space_group_name_H-M_alt 'P 1'
_space_group_IT_number 1
loop_
_space_group_symop_operation_xyz
'x,y,z'
loop_
_atom_site_label
_atom_site_type_symbol
_atom_site_fract_x
_atom_site_fract_y
_atom_site_fract_z
_atom_site_occupancy
Mn1 Mn 0.0000 0.0000 0.0000 1
Mn2 Mn 0.7500 0.2500 0.5000 1
Si1 Si 0.2500 0.7500 0.5000 1
Si2 Si 0.5000 0.5000 0.0000 1
S1 S 0.1079 0.6250 0.9829 1
S2 S 0.3750 0.3579 0.4829 1
S3 S 0.6421 0.1250 0.0171 1
S4 S 0.8750 0.8921 0.5171 1

(2)
# MnSiS2, relaxed, DFT GGA-PBE
# SG = R-3m
# Energy relative to the elements, uncorrected = -0.07 eV per atom
# Density of states at the Fermi level = 1.506 states/eV per cell
# Calculated volume = 71.0 Å³ per cell
data_MnSiS2
_cell_length_a 7.4512
_cell_length_b 7.4512
_cell_length_c 7.4512
_cell_angle_alpha 26.20
_cell_angle_beta 26.20
_cell_angle_gamma 26.20
_space_group_name_H-M_alt 'P 1'
_space_group_IT_number 1
loop_
_space_group_symop_operation_xyz
'x,y,z'
loop_
_atom_site_label
_atom_site_type_symbol
_atom_site_fract_x
_atom_site_fract_y
_atom_site_fract_z
_atom_site_occupancy
Mn1 Mn 0.0000 0.0000 0.0000 1
Si1 Si 0.5000 0.5000 0.5000 1
S1 S 0.1051 0.1051 0.1051 1
S2 S 0.8949 0.8949 0.8949 1

(3)
# Mn3SiS, relaxed, DFT GGA-PBE
# ΔE to the lowest computed polymorph = 0.0 kJ/mol of atoms
# SG = Pm-3m
# Energy relative to the elements, uncorrected = 0.36 eV per atom
# Density of states at the Fermi level = 5.370 states/eV per cell
# Calculated volume = 69.6 Å³ per cell
data_Mn3SiS
_cell_length_a 4.1133
_cell_length_b 4.1133
_cell_length_c 4.1133
_cell_angle_alpha 90.00
_cell_angle_beta 90.00
_cell_angle_gamma 90.00
_space_group_name_H-M_alt 'P 1'
_space_group_IT_number 1
loop_
_space_group_symop_operation_xyz
'x,y,z'
loop_
_atom_site_label
_atom_site_type_symbol
_atom_site_fract_x
_atom_site_fract_y
_atom_site_fract_z
_atom_site_occupancy
Mn1 Mn 0.0000 0.0000 0.5000 1
Mn2 Mn 0.0000 0.5000 0.0000 1
Mn3 Mn 0.5000 0.0000 0.0000 1
Si1 Si 0.5000 0.5000 0.5000 1
S1 S 0.0000 0.0000 0.0000 1

(4)
# Mn2SiS4, relaxed, DFT GGA-PBE
# ΔE to the lowest computed polymorph = 17.9 kJ/mol of atoms
# SG = C2/m
# Energy relative to the elements, uncorrected = -0.39 eV per atom
# Density of states at the Fermi level = 3.418 states/eV per cell
# Calculated volume = 122.3 Å³ per cell
data_Mn2SiS4
_cell_length_a 6.4896
_cell_length_b 6.4896
_cell_length_c 6.1453
_cell_angle_alpha 114.00
_cell_angle_beta 114.00
_cell_angle_gamma 31.43
_space_group_name_H-M_alt 'P 1'
_space_group_IT_number 1
loop_
_space_group_symop_operation_xyz
'x,y,z'
loop_
_atom_site_label
_atom_site_type_symbol
_atom_site_fract_x
_atom_site_fract_y
_atom_site_fract_z
_atom_site_occupancy
Mn1 Mn 0.2181 0.2181 0.1970 1
Mn2 Mn 0.7819 0.7819 0.8030 1
Si1 Si 0.5000 0.5000 0.5000 1
S1 S 0.1318 0.1318 0.4843 1
S2 S 0.3844 0.3844 0.0810 1
S3 S 0.6156 0.6156 0.9190 1
S4 S 0.8682 0.8682 0.5157 1

(5)
# Mn2SiS4, relaxed, DFT GGA-PBE
# ΔE to the lowest computed polymorph = 0.0 kJ/mol of atoms
# SG = Pnma
# Energy relative to the elements, uncorrected = -0.58 eV per atom
# Density of states at the Fermi level = 0.150 states/eV per cell
# Calculated volume = 563.0 Å³ per cell
data_Mn2SiS4
_cell_length_a 12.7284
_cell_length_b 7.4488
_cell_length_c 5.9386
_cell_angle_alpha 90.00
_cell_angle_beta 90.00
_cell_angle_gamma 90.00
_space_group_name_H-M_alt 'P 1'
_space_group_IT_number 1
loop_
_space_group_symop_operation_xyz
'x,y,z'
loop_
_atom_site_label
_atom_site_type_symbol
_atom_site_fract_x
_atom_site_fract_y
_atom_site_fract_z
_atom_site_occupancy
Mn1 Mn 0.0000 0.0000 0.0000 1
Mn2 Mn 0.0000 0.5000 0.0000 1
Mn3 Mn 0.2314 0.2500 0.4920 1
Mn4 Mn 0.2686 0.7500 0.9920 1
Mn5 Mn 0.5000 0.0000 0.5000 1
Mn6 Mn 0.5000 0.5000 0.5000 1
Mn7 Mn 0.7314 0.2500 0.0080 1
Mn8 Mn 0.7686 0.7500 0.5080 1
Si1 Si 0.0899 0.7500 0.4082 1
Si2 Si 0.4101 0.2500 0.9082 1
Si3 Si 0.5899 0.7500 0.0918 1
Si4 Si 0.9101 0.2500 0.5918 1
S1 S 0.0655 0.2500 0.7372 1
S2 S 0.0926 0.7500 0.7657 1
S3 S 0.1669 0.5237 0.2538 1
S4 S 0.1669 0.9763 0.2538 1
S5 S 0.3331 0.0237 0.7538 1
S6 S 0.3331 0.4763 0.7538 1
S7 S 0.4074 0.2500 0.2657 1
S8 S 0.4345 0.7500 0.2372 1
S9 S 0.5655 0.2500 0.7628 1
S10 S 0.5926 0.7500 0.7343 1
S11 S 0.6669 0.5237 0.2462 1
S12 S 0.6669 0.9763 0.2462 1
S13 S 0.8331 0.0237 0.7462 1
S14 S 0.8331 0.4763 0.7462 1
S15 S 0.9074 0.2500 0.2343 1
S16 S 0.9345 0.7500 0.2628 1

(6)
# MnSi2S, relaxed, DFT GGA-PBE
# SG = I-42d
# Energy relative to the elements, uncorrected = 0.39 eV per atom
# Density of states at the Fermi level = 6.765 states/eV per cell
# Calculated volume = 153.3 Å³ per cell
data_MnSi2S
_cell_length_a 6.2533
_cell_length_b 6.2533
_cell_length_c 6.2533
_cell_angle_alpha 126.37
_cell_angle_beta 126.37
_cell_angle_gamma 79.28
_space_group_name_H-M_alt 'P 1'
_space_group_IT_number 1
loop_
_space_group_symop_operation_xyz
'x,y,z'
loop_
_atom_site_label
_atom_site_type_symbol
_atom_site_fract_x
_atom_site_fract_y
_atom_site_fract_z
_atom_site_occupancy
Mn1 Mn 0.0000 0.0000 0.0000 1
Mn2 Mn 0.7500 0.2500 0.5000 1
Si1 Si 0.1194 0.6250 0.9944 1
Si2 Si 0.3750 0.3694 0.4944 1
Si3 Si 0.6306 0.1250 0.0056 1
Si4 Si 0.8750 0.8806 0.5056 1
S1 S 0.2500 0.7500 0.5000 1
S2 S 0.5000 0.5000 0.0000 1